Here is a geometry-optimized Li3ZrTl structure from the Alexandria database. Energies are from PBE.

Cell lengths 4.7685, 4.7685, 4.7685 Å; angles 90.00, 90.00, 90.00 degrees
Atoms (fractional coordinates):
Li: 0.0000 0.0000 0.5000
Li: 0.0000 0.5000 0.0000
Li: 0.5000 0.0000 0.0000
Zr: 0.5000 0.5000 0.5000
Tl: 0.0000 0.0000 0.0000

calculated volume	21.7	Å³/atom
E	-2.793	eV/atom
ΔE_f	0.538	eV per atom


Here is a geometry-optimized LiZrTl structure from the Alexandria database. Energies are from PBE.

Cell lengths 4.7995, 5.7414, 5.7457 Å; angles 94.93, 114.62, 114.63 degrees
Atoms (fractional coordinates):
Li: 0.0011 0.3368 0.1651
Li: 0.9989 0.6632 0.8349
Zr: 0.2436 0.2430 0.7433
Zr: 0.7564 0.7570 0.2567
Tl: 0.4996 0.1797 0.3191
Tl: 0.5004 0.8203 0.6809

calculated volume	20.7	Å³/atom
E	-4.272	eV/atom
ΔE_f	0.004	eV per atom


Here is a geometry-optimized LiZrTl structure from the Alexandria database. Energies are from PBE.

Cell lengths 6.6501, 6.6501, 6.6501 Å; angles 90.00, 90.00, 90.00 degrees
Atoms (fractional coordinates):
Li: 0.0000 0.0000 0.0000
Li: 0.0000 0.5000 0.5000
Li: 0.5000 0.0000 0.5000
Li: 0.5000 0.5000 0.0000
Zr: 0.0000 0.0000 0.5000
Zr: 0.0000 0.5000 0.0000
Zr: 0.5000 0.0000 0.0000
Zr: 0.5000 0.5000 0.5000
Tl: 0.2500 0.2500 0.2500
Tl: 0.2500 0.7500 0.7500
Tl: 0.7500 0.2500 0.7500
Tl: 0.7500 0.7500 0.2500

calculated volume	24.5	Å³/atom
E	-4.047	eV/atom
ΔE_f	0.229	eV per atom


Here is a geometry-optimized LiZrTl structure from the Alexandria database. Energies are from PBE.

Cell lengths 3.4185, 3.4185, 11.0073 Å; angles 90.00, 90.00, 90.00 degrees
Atoms (fractional coordinates):
Li: 0.0000 0.0000 0.0000
Li: 0.0000 0.0000 0.2996
Zr: 0.0000 0.0000 0.6611
Zr: 0.5000 0.5000 0.4814
Tl: 0.5000 0.5000 0.1657
Tl: 0.5000 0.5000 0.8476

calculated volume	21.4	Å³/atom
E	-4.355	eV/atom
ΔE_f	-0.079	eV per atom


Here is a geometry-optimized LiZrTl2 structure from the Alexandria database. Energies are from PBE.

Cell lengths 4.2531, 4.2531, 10.1661 Å; angles 90.00, 90.00, 90.00 degrees
Atoms (fractional coordinates):
Li: 0.0000 0.0000 0.0000
Li: 0.5000 0.5000 0.5000
Zr: 0.0000 0.5000 0.2500
Zr: 0.5000 0.0000 0.7500
Tl: 0.0000 0.0000 0.5000
Tl: 0.0000 0.5000 0.7500
Tl: 0.5000 0.0000 0.2500
Tl: 0.5000 0.5000 0.0000

calculated volume	23.0	Å³/atom
E	-3.747	eV/atom
ΔE_f	0.052	eV per atom


Here is a geometry-optimized Li2ZrTl structure from the Alexandria database. Energies are from PBE.

Cell lengths 4.2040, 4.2040, 4.6656 Å; angles 90.00, 90.00, 90.00 degrees
Atoms (fractional coordinates):
Li: 0.0000 0.5000 0.0000
Li: 0.5000 0.0000 0.0000
Zr: 0.0000 0.0000 0.5000
Tl: 0.5000 0.5000 0.5000

calculated volume	20.6	Å³/atom
E	-3.651	eV/atom
ΔE_f	0.034	eV per atom


Here is a geometry-optimized LiZrTl structure from the Alexandria database. Energies are from PBE.

Cell lengths 4.1648, 4.1648, 7.3656 Å; angles 90.00, 90.00, 90.00 degrees
Atoms (fractional coordinates):
Li: 0.2500 0.2500 0.2429
Li: 0.7500 0.7500 0.7571
Zr: 0.2500 0.2500 0.6270
Zr: 0.7500 0.7500 0.3730
Tl: 0.2500 0.7500 0.0000
Tl: 0.7500 0.2500 0.0000

calculated volume	21.3	Å³/atom
E	-4.021	eV/atom
ΔE_f	0.255	eV per atom


Here is a geometry-optimized Li2ZrTl structure from the Alexandria database. Energies are from PBE.

Cell lengths 2.9766, 4.4594, 6.3632 Å; angles 90.00, 90.00, 90.00 degrees
Atoms (fractional coordinates):
Li: 0.0000 0.0000 0.0000
Li: 0.5000 0.5000 0.2251
Zr: 0.5000 0.5000 0.7183
Tl: 0.0000 0.0000 0.4714

calculated volume	21.1	Å³/atom
E	-3.614	eV/atom
ΔE_f	0.072	eV per atom


Here is a geometry-optimized LiZrTl2 structure from the Alexandria database. Energies are from PBE.

Cell lengths 9.3285, 3.1813, 6.3247 Å; angles 90.00, 97.86, 90.00 degrees
Atoms (fractional coordinates):
Li: 0.0000 0.0000 0.0000
Li: 0.5000 0.5000 0.0000
Zr: 0.0000 0.5000 0.5000
Zr: 0.5000 0.0000 0.5000
Tl: 0.2459 0.5000 0.2350
Tl: 0.2541 0.0000 0.7650
Tl: 0.7459 0.0000 0.2350
Tl: 0.7541 0.5000 0.7650

calculated volume	23.2	Å³/atom
E	-3.768	eV/atom
ΔE_f	0.030	eV per atom


Here is a geometry-optimized LiZrTl2 structure from the Alexandria database. Energies are from PBE.

Cell lengths 3.2869, 3.2869, 29.6293 Å; angles 90.00, 90.00, 120.00 degrees
Atoms (fractional coordinates):
Li: 0.0000 0.0000 0.0000
Li: 0.3333 0.6667 0.6667
Li: 0.6667 0.3333 0.3333
Zr: 0.0000 0.0000 0.5000
Zr: 0.3333 0.6667 0.1667
Zr: 0.6667 0.3333 0.8333
Tl: 0.0000 0.0000 0.2545
Tl: 0.0000 0.0000 0.7455
Tl: 0.3333 0.6667 0.4121
Tl: 0.3333 0.6667 0.9212
Tl: 0.6667 0.3333 0.0788
Tl: 0.6667 0.3333 0.5879

calculated volume	23.1	Å³/atom
E	-3.825	eV/atom
ΔE_f	-0.026	eV per atom


Here is a geometry-optimized Li2ZrTl structure from the Alexandria database. Energies are from PBE.

Cell lengths 7.5932, 7.5932, 5.8879 Å; angles 90.00, 90.00, 90.00 degrees
Atoms (fractional coordinates):
Li: 0.2247 0.2500 0.1250
Li: 0.2500 0.7247 0.3750
Li: 0.2500 0.7753 0.8750
Li: 0.2753 0.2500 0.6250
Li: 0.7247 0.7500 0.6250
Li: 0.7500 0.2247 0.8750
Li: 0.7500 0.2753 0.3750
Li: 0.7753 0.7500 0.1250
Zr: 0.0000 0.0000 0.5000
Zr: 0.0000 0.5000 0.7500
Zr: 0.5000 0.0000 0.2500
Zr: 0.5000 0.5000 0.0000
Tl: 0.0000 0.0000 0.0000
Tl: 0.0000 0.5000 0.2500
Tl: 0.5000 0.0000 0.7500
Tl: 0.5000 0.5000 0.5000

calculated volume	21.2	Å³/atom
E	-3.370	eV/atom
ΔE_f	0.316	eV per atom


Here is a geometry-optimized LiZrTl2 structure from the Alexandria database. Energies are from PBE.

Cell lengths 7.1976, 7.1976, 7.1976 Å; angles 90.00, 90.00, 90.00 degrees
Atoms (fractional coordinates):
Li: 0.0000 0.0000 0.0000
Li: 0.0000 0.5000 0.5000
Li: 0.5000 0.0000 0.5000
Li: 0.5000 0.5000 0.0000
Zr: 0.2500 0.2500 0.2500
Zr: 0.2500 0.7500 0.7500
Zr: 0.7500 0.2500 0.7500
Zr: 0.7500 0.7500 0.2500
Tl: 0.0000 0.0000 0.5000
Tl: 0.0000 0.5000 0.0000
Tl: 0.2500 0.2500 0.7500
Tl: 0.2500 0.7500 0.2500
Tl: 0.5000 0.0000 0.0000
Tl: 0.5000 0.5000 0.5000
Tl: 0.7500 0.2500 0.2500
Tl: 0.7500 0.7500 0.7500

calculated volume	23.3	Å³/atom
E	-3.507	eV/atom
ΔE_f	0.292	eV per atom